No. 1
PmSm2DyBi4: relaxed, PBE.

a = 4.546 Å, b = 7.869 Å, c = 7.868 Å
α = 70.53°, β = 90.00°, γ = 90.00°
Atoms (fractional coordinates):
Pm  0.500  0.500  0.000
Sm  0.500  0.000  0.500
Sm  0.000  0.000  0.000
Bi  0.000  0.749  0.747
Bi  0.500  0.747  0.254
Bi  0.500  0.253  0.746
Bi  0.000  0.251  0.253
Dy  0.000  0.500  0.500

Its crystal system is monoclinic. For the uncorrected energy, the calculation gives -5.200 eV per atom.

---

No. 2
Zr2AlBr: relaxed, PBE.

a = 5.477 Å, b = 5.477 Å, c = 5.027 Å
α = 82.79°, β = 82.79°, γ = 33.97°
Atoms (fractional coordinates):
Zr  0.758  0.758  0.672
Zr  0.990  0.990  0.082
Al  0.492  0.492  0.589
Br  0.260  0.260  0.157

Its crystal system is monoclinic. Its energy above the most stable polymorph in this dataset is 53.2 kJ/mol of formula units. The value obtained for the formation energy from raw total energies is -22 kJ/mol of atoms.

---

D(E_F) across the listed records, respectively: 0.15; 0.51 states/eV/atom.